1.
A plane-wave DFT calculation with PBE was carried out for crystalline PrPO3 at its relaxed geometry.

* space-group type: Ama2
* energy relative to the elements, uncorrected: -2.655 eV/atom

Cell: 8.2910 4.5802 4.5802 Å, 114.50 90.00 90.00°
Closest atoms and distances in Å follow each position.
Sites, in units of the cell vectors:
Pr1 0.0000 0.0000 0.0000  6 O 2.43-2.62
Pr2 0.5000 0.0000 0.0000  6 O 2.43-2.62
P1 0.2500 0.7613 0.3193  3 O 1.59-1.60
P2 0.7500 0.3193 0.7613  3 O 1.59-1.60
O1 0.0925 0.5501 0.1769  1 P 1.59
O2 0.2500 0.8436 0.6942  1 P 1.60
O3 0.4075 0.5501 0.1769  1 P 1.59
O4 0.5925 0.1769 0.5501  1 P 1.59
O5 0.7500 0.6942 0.8436  1 P 1.60
O6 0.9075 0.1769 0.5501  1 P 1.59

---

2.
A plane-wave DFT calculation with PBE was carried out for crystalline Pr2PO6 at its relaxed geometry.

* space-group type: P2_1/c
* energy relative to the elements, uncorrected: -2.649 eV/atom

Cell: 5.3847 6.0219 8.7635 Å, 90.00 122.44 90.00°
Closest atoms and distances in Å follow each position.
Sites, in units of the cell vectors:
Pr1 0.2148 0.0847 0.2505  7 O 2.41-2.57
Pr2 0.2148 0.4153 0.7505  7 O 2.41-2.57
Pr3 0.7852 0.5847 0.2495  7 O 2.41-2.57
Pr4 0.7852 0.9153 0.7495  7 O 2.41-2.57
P1 0.5000 0.0000 0.0000  6 O 1.69-1.74
P2 0.5000 0.5000 0.5000  6 O 1.69-1.74
O1 0.1937 0.1458 0.9614  1 P 1.73
O2 0.1937 0.3542 0.4614  1 P 1.73
O3 0.3045 0.7488 0.4456  1 P 1.74
O4 0.3045 0.7512 0.9456  1 P 1.74
O5 0.3860 0.0346 0.7806  1 P 1.69
O6 0.3860 0.4654 0.2806  1 P 1.69
O7 0.6140 0.5346 0.7194  1 P 1.69
O8 0.6140 0.9654 0.2194  1 P 1.69
O9 0.6955 0.2488 0.0544  1 P 1.74
O10 0.6955 0.2512 0.5544  1 P 1.74
O11 0.8063 0.6458 0.5386  1 P 1.73
O12 0.8063 0.8542 0.0386  1 P 1.73

---

3.
A plane-wave DFT calculation with PBE was carried out for crystalline Pr4P3O at its relaxed geometry.

* space-group type: Cmm2
* energy relative to the elements, uncorrected: -1.753 eV/atom

Cell: 7.0497 7.0497 4.0835 Å, 90.00 90.00 109.44°
Closest atoms and distances in Å follow each position.
Sites, in units of the cell vectors:
Pr1 0.2383 0.2383 0.4996  2 O 2.81-2.82, 4 P 2.88-2.95
Pr2 0.2422 0.7578 0.0000  1 O 2.79, 5 P 2.88-2.97
Pr3 0.7578 0.2422 0.0000  1 O 2.79, 5 P 2.88-2.97
Pr4 0.7617 0.7617 0.4996  2 O 2.81-2.82, 4 P 2.88-2.95
P1 0.0000 0.5000 0.5000  6 Pr 2.88
P2 0.5000 0.0000 0.5000  6 Pr 2.88
P3 0.5000 0.5000 0.9998  6 Pr 2.95-2.97
O1 0.0000 0.0000 0.0008  6 Pr 2.79-2.82

---

4.
A plane-wave DFT calculation with PBE was carried out for crystalline Pr3P2O at its relaxed geometry.

* space-group type: C2/c
* energy relative to the elements, uncorrected: -1.856 eV/atom

Cell: 6.9616 6.9616 8.0308 Å, 106.72 106.72 49.67°
Closest atoms and distances in Å follow each position.
Sites, in units of the cell vectors:
Pr1 0.0420 0.9580 0.7500  1 O 2.39
Pr2 0.3441 0.3459 0.4222  2 O 2.75, 4 P 2.89-2.93
Pr3 0.3459 0.3441 0.9222  2 O 2.75, 4 P 2.89-2.93
Pr4 0.6541 0.6559 0.0778  2 O 2.75, 4 P 2.89-2.93
Pr5 0.6559 0.6541 0.5778  2 O 2.75, 4 P 2.89-2.93
Pr6 0.9580 0.0420 0.2500  1 O 2.39
P1 0.1714 0.1722 0.0859  6 Pr 2.88-2.93
P2 0.1722 0.1714 0.5859  6 Pr 2.88-2.93
P3 0.8278 0.8286 0.4141  6 Pr 2.88-2.93
P4 0.8286 0.8278 0.9141  6 Pr 2.88-2.93
O1 0.4512 0.5488 0.7500  1 Pr 2.39
O2 0.5488 0.4512 0.2500  1 Pr 2.39

---

5.
A plane-wave DFT calculation with PBE was carried out for crystalline PrPO4 at its relaxed geometry.

* space-group type: P2_1/c
* energy relative to the elements, uncorrected: -2.980 eV/atom

Cell: 6.4868 7.0852 8.2545 Å, 90.00 125.90 90.00°
Closest atoms and distances in Å follow each position.
Sites, in units of the cell vectors:
Pr1 0.1866 0.1574 0.2844  8 O 2.47-2.70
Pr2 0.1866 0.3426 0.7844  8 O 2.47-2.70
Pr3 0.8134 0.6574 0.2156  8 O 2.47-2.70
Pr4 0.8134 0.8426 0.7156  8 O 2.47-2.70
P1 0.3079 0.6610 0.1970  4 O 1.55-1.57
P2 0.3079 0.8390 0.6970  4 O 1.55-1.57
P3 0.6921 0.1610 0.3030  4 O 1.55-1.57
P4 0.6921 0.3390 0.8030  4 O 1.55-1.57
O1 0.1171 0.6697 0.6189  1 P 1.57
O2 0.1171 0.8303 0.1189  1 P 1.57
O3 0.1894 0.5050 0.2506  1 P 1.55
O4 0.1894 0.9950 0.7506  1 P 1.55
O5 0.3367 0.6021 0.0299  1 P 1.55
O6 0.3367 0.8979 0.5299  1 P 1.55
O7 0.4171 0.2112 0.1260  1 P 1.55
O8 0.4171 0.2888 0.6260  1 P 1.55
O9 0.5829 0.7112 0.3740  1 P 1.55
O10 0.5829 0.7888 0.8740  1 P 1.55
O11 0.6633 0.1021 0.4701  1 P 1.55
O12 0.6633 0.3979 0.9701  1 P 1.55
O13 0.8106 0.0050 0.2494  1 P 1.55
O14 0.8106 0.4950 0.7494  1 P 1.55
O15 0.8829 0.1697 0.8811  1 P 1.57
O16 0.8829 0.3303 0.3811  1 P 1.57

---

6.
A plane-wave DFT calculation with PBE was carried out for crystalline Pr5P4O at its relaxed geometry.

* space-group type: I4
* energy relative to the elements, uncorrected: -1.724 eV/atom

Cell: 7.1198 7.1198 7.1198 Å, 99.89 99.89 131.03°
Closest atoms and distances in Å follow each position.
Sites, in units of the cell vectors:
Pr1 0.0000 0.0000 0.0000  1 O 2.32
Pr2 0.1559 0.3495 0.6109  1 O 2.83, 5 P 2.92-2.95
Pr3 0.3495 0.7385 0.1936  1 O 2.83, 5 P 2.92-2.95
Pr4 0.5450 0.1559 0.8064  1 O 2.83, 5 P 2.92-2.95
Pr5 0.7385 0.5450 0.3891  1 O 2.83, 5 P 2.92-2.95
P1 0.0432 0.6476 0.7958  6 Pr 2.90-2.95
P2 0.2474 0.0432 0.3955  6 Pr 2.90-2.95
P3 0.6476 0.8519 0.6045  6 Pr 2.90-2.95
P4 0.8519 0.2474 0.2042  6 Pr 2.90-2.95
O1 0.3927 0.3927 0.0000  1 Pr 2.32

---

7.
A plane-wave DFT calculation with PBE was carried out for crystalline PrP3O9 at its relaxed geometry.

* space-group type: C222_1
* energy relative to the elements, uncorrected: -2.501 eV/atom

Cell: 7.1488 7.1488 7.4376 Å, 90.00 90.00 105.41°
Closest atoms and distances in Å follow each position.
Sites, in units of the cell vectors:
Pr1 0.1262 0.1262 0.0000  6 O 2.42-2.50
Pr2 0.8738 0.8738 0.5000  6 O 2.42-2.50
P1 0.2511 0.2511 0.5000  4 O 1.52-1.59
P2 0.3161 0.6670 0.0470  4 O 1.49-1.62
P3 0.3330 0.6839 0.4530  4 O 1.49-1.62
P4 0.6670 0.3161 0.9530  4 O 1.49-1.62
P5 0.6839 0.3330 0.5470  4 O 1.49-1.62
P6 0.7489 0.7489 0.0000  4 O 1.52-1.59
O1 0.1355 0.1713 0.3329  1 P 1.52
O2 0.1713 0.1355 0.6671  1 P 1.52
O3 0.1732 0.7814 0.4633  1 P 1.49
O4 0.2186 0.8268 0.0367  1 P 1.49
O5 0.2204 0.4746 0.9649  1 P 1.49
O6 0.2518 0.4695 0.5405  2 P 1.59-1.62
O7 0.3730 0.6270 0.2500  2 P 1.61
O8 0.4695 0.2518 0.4595  2 P 1.59-1.62
O9 0.4746 0.2204 0.0351  1 P 1.49
O10 0.5254 0.7796 0.5351  1 P 1.49
O11 0.5305 0.7482 0.9595  2 P 1.59-1.62
O12 0.6270 0.3730 0.7500  2 P 1.61
O13 0.7482 0.5305 0.0405  2 P 1.59-1.62
O14 0.7796 0.5254 0.4649  1 P 1.49
O15 0.7814 0.1732 0.5367  1 P 1.49
O16 0.8268 0.2186 0.9633  1 P 1.49
O17 0.8287 0.8645 0.1671  1 P 1.52
O18 0.8645 0.8287 0.8329  1 P 1.52

---

8.
A plane-wave DFT calculation with PBE was carried out for crystalline PrP2PtO8 at its relaxed geometry.

* space-group type: P-3m1
* energy relative to the elements, uncorrected: -2.005 eV/atom

Cell: 5.1647 5.1647 7.1006 Å, 90.00 90.00 120.00°
Closest atoms and distances in Å follow each position.
Sites, in units of the cell vectors:
Pr1 0.0000 0.0000 0.0000  6 O 2.54
P1 0.3333 0.6667 0.2269  4 O 1.54-1.55
P2 0.6667 0.3333 0.7731  4 O 1.54-1.55
Pt1 0.0000 0.0000 0.5000  6 O 2.12
O1 0.1671 0.3341 0.2887  1 P 1.55
O2 0.1671 0.8329 0.2887  1 P 1.55
O3 0.3333 0.6667 0.0102  1 P 1.54
O4 0.3341 0.1671 0.7113  1 P 1.55
O5 0.6659 0.8329 0.2887  1 P 1.55
O6 0.6667 0.3333 0.9898  1 P 1.54
O7 0.8329 0.1671 0.7113  1 P 1.55
O8 0.8329 0.6659 0.7113  1 P 1.55

---

9.
A plane-wave DFT calculation with PBE was carried out for crystalline RbPrP2O6 at its relaxed geometry.

* space-group type: C2/c
* energy relative to the elements, uncorrected: -2.518 eV/atom

Cell: 6.9890 6.9890 8.7171 Å, 93.89 93.89 111.42°
Closest atoms and distances in Å follow each position.
Sites, in units of the cell vectors:
Rb1 0.0837 0.9163 0.7500  4 O 2.73-3.01
Rb2 0.9163 0.0837 0.2500  4 O 2.73-3.01
Pr1 0.3404 0.6596 0.2500  6 O 2.35-2.43
Pr2 0.6596 0.3404 0.7500  6 O 2.35-2.43
P1 0.2470 0.5163 0.8099  3 O 1.53-1.55
P2 0.4837 0.7530 0.6901  3 O 1.53-1.55
P3 0.5163 0.2470 0.3099  3 O 1.53-1.55
P4 0.7530 0.4837 0.1901  3 O 1.53-1.55
O1 0.0256 0.4662 0.7335  1 P 1.55
O2 0.2689 0.6025 0.9795  1 P 1.53
O3 0.3147 0.3295 0.7869  1 P 1.55
O4 0.3295 0.3147 0.2869  1 P 1.55
O5 0.3975 0.7311 0.5205  1 P 1.53
O6 0.4662 0.0256 0.2335  1 P 1.55
O7 0.5338 0.9744 0.7665  1 P 1.55
O8 0.6025 0.2689 0.4795  1 P 1.53
O9 0.6705 0.6853 0.7131  1 P 1.55
O10 0.6853 0.6705 0.2131  1 P 1.55
O11 0.7311 0.3975 0.0205  1 P 1.53
O12 0.9744 0.5338 0.2665  1 P 1.55